1.
Material: TaSeS3
Method: DFT, PBE
State: relaxed

Unit cell a=4.787 b=4.787 c=4.787 alpha=90.00 beta=90.00 gamma=90.00
Space group Pm-3m (No. 221)
Unique sites:
Ta: 0.000 0.000 0.000 [1 per cell]
Se: 0.500 0.500 0.500 [1 per cell]
S: 0.000 0.000 0.500 [3 per cell]

Calculated values
Offset from the most stable computed form (meV per atom): 0
Calculated volume (Å³/cell): 109.7
Raw formation energy (eV/atom): 0.067
VASP energy (eV per cell): -27.384



2.
Material: NaCa4Bi2
Method: DFT, PBE
State: relaxed

Unit cell a=5.499 b=5.499 c=17.069 alpha=90.00 beta=90.00 gamma=90.00
Space group I4/mmm (No. 139)
Unique sites:
Na: 0.000 0.000 0.000 [2 per cell]
Ca: 0.000 0.000 0.188 [4 per cell]
Ca: 0.000 0.500 0.000 [4 per cell]
Bi: 0.000 0.000 0.374 [4 per cell]

Calculated values
Calculated volume (Å³/cell): 516.2
Energy relative to the elements (meV/atom): -156
VASP energy (eV per cell): -36.357



3.
Material: LiP2SF
Method: DFT, PBE
State: relaxed

Unit cell a=4.321 b=4.321 c=4.168 alpha=90.00 beta=90.00 gamma=90.00
Space group P4/mmm (No. 123)
Unique sites:
Li: 0.000 0.000 0.000 [1 per cell]
P: 0.000 0.500 0.000 [2 per cell]
S: 0.000 0.000 0.500 [1 per cell]
F: 0.500 0.500 0.500 [1 per cell]

Calculated values
Offset from the most stable computed form (meV per atom): 199
Calculated volume (Å³/cell): 77.8
Raw formation energy (eV/atom): 0.556
VASP energy (eV per cell): -15.955



4.
Material: UAl4Ga
Method: DFT, PBE
State: relaxed

Unit cell a=3.997 b=16.484 c=6.835 alpha=90.00 beta=90.00 gamma=90.00
Space group Cmcm (No. 63)
Unique sites:
U: 0.000 0.109 0.250 [4 per cell]
Al: 0.000 0.075 0.750 [4 per cell]
Al: 0.000 0.333 0.058 [8 per cell]
Al: 0.000 0.500 0.000 [4 per cell]
Ga: 0.000 0.243 0.750 [4 per cell]

Calculated values
Offset from the most stable computed form (meV per atom): 0
Calculated volume (Å³/cell): 450.3
Energy relative to the elements (meV/atom): -5
VASP energy (eV per cell): -117.271